[1]
# Cr2FeSb | Alexandria | GGA-PBE | optimized geometry
data_Cr2FeSb
_chemical_formula_sum 'Cr2 Fe1 Sb1'
_cell_length_a 2.925
_cell_length_b 3.758
_cell_length_c 5.222
_cell_angle_alpha 90.00
_cell_angle_beta 90.00
_cell_angle_gamma 90.00
_space_group_name_H-M_alt 'P m m m'
_space_group_IT_number 47
loop_
_space_group_symop_operation_xyz
'x,y,z'
'-x,-y,-z'
'-x,-y,z'
'x,y,-z'
'x,-y,-z'
'-x,y,z'
'-x,y,-z'
'x,-y,z'
loop_
_atom_site_label
_atom_site_fract_x
_atom_site_fract_y
_atom_site_fract_z
Cr1 0.000 0.000 0.195
Fe1 0.500 0.500 0.000
Sb1 0.500 0.500 0.500
# - DFT total energy (eV per atom) = -7.611
# - size of the total moment (μB per cell) = 1.93
# - calculated volume (Å³ per atom) = 14.35

[2]
# CrFeSb3 | Alexandria | GGA-PBE | optimized geometry
data_CrFeSb3
_chemical_formula_sum 'Cr1 Fe1 Sb3'
_cell_length_a 4.996
_cell_length_b 4.996
_cell_length_c 4.996
_cell_angle_alpha 90.00
_cell_angle_beta 90.00
_cell_angle_gamma 90.00
_space_group_name_H-M_alt 'P m -3 m'
_space_group_IT_number 221
_space_group_name_Hall '-P 4 2 3'
loop_
_atom_site_label
_atom_site_fract_x
_atom_site_fract_y
_atom_site_fract_z
Cr1 0.000 0.000 0.000
Fe1 0.500 0.500 0.500
Sb1 0.000 0.000 0.500
# - DFT total energy (eV per atom) = -5.153
# - size of the total moment (μB per cell) = 3.43
# - polymorph energy (0 for the lowest one) (meV per atom) = 0.0
# - calculated volume (Å³ per atom) = 24.93

[3]
# CrFeSb2 | Alexandria | GGA-PBE | optimized geometry
data_CrFeSb2
_chemical_formula_sum 'Cr3 Fe3 Sb6'
_cell_length_a 3.6751
_cell_length_b 3.6751
_cell_length_c 21.0861
_cell_angle_alpha 90.00
_cell_angle_beta 90.00
_cell_angle_gamma 120.00
_space_group_name_H-M_alt 'R -3 m'
_space_group_IT_number 166
_space_group_name_Hall '-R 3 2"'
loop_
_atom_site_label
_atom_site_fract_x
_atom_site_fract_y
_atom_site_fract_z
Cr1 0.0000 0.0000 0.0000
Fe1 0.0000 0.0000 0.5000
Sb1 0.0000 0.0000 0.2445
# - DFT total energy (eV per atom) = -6.260
# - size of the total moment (μB per cell) = 18.95
# - polymorph energy (0 for the lowest one) (meV per atom) = 119.9
# - calculated volume (Å³ per atom) = 20.55

[4]
# CrFeSb2 | Alexandria | GGA-PBE | optimized geometry
data_CrFeSb2
_chemical_formula_sum 'Cr1 Fe1 Sb2'
_cell_length_a 3.125
_cell_length_b 3.125
_cell_length_c 7.881
_cell_angle_alpha 90.00
_cell_angle_beta 90.00
_cell_angle_gamma 90.00
_space_group_name_H-M_alt 'P 4 m m'
_space_group_IT_number 99
loop_
_space_group_symop_operation_xyz
'x,y,z'
'-y,x,z'
'-x,-y,z'
'y,-x,z'
'-x,y,z'
'y,x,z'
'x,-y,z'
'-y,-x,z'
loop_
_atom_site_label
_atom_site_fract_x
_atom_site_fract_y
_atom_site_fract_z
Cr1 0.000 0.000 0.000
Fe1 0.500 0.500 0.153
Sb1 0.000 0.000 0.359
Sb2 0.500 0.500 0.783
# - DFT total energy (eV per atom) = -6.375
# - size of the total moment (μB per cell) = 2.57
# - polymorph energy (0 for the lowest one) (meV per atom) = 4.2
# - calculated volume (Å³ per atom) = 19.25

[5]
# CrFeSb2 | Alexandria | GGA-PBE | optimized geometry
data_CrFeSb2
_chemical_formula_sum 'Cr1 Fe1 Sb2'
_cell_length_a 3.261
_cell_length_b 3.261
_cell_length_c 7.041
_cell_angle_alpha 90.00
_cell_angle_beta 90.00
_cell_angle_gamma 90.00
_space_group_name_H-M_alt 'P 4/m m m'
_space_group_IT_number 123
_space_group_name_Hall '-P 4 2'
loop_
_atom_site_label
_atom_site_fract_x
_atom_site_fract_y
_atom_site_fract_z
Cr1 0.000 0.000 0.000
Fe1 0.000 0.000 0.500
Sb1 0.500 0.500 0.268
# - DFT total energy (eV per atom) = -6.182
# - size of the total moment (μB per cell) = 5.68
# - polymorph energy (0 for the lowest one) (meV per atom) = 197.7
# - calculated volume (Å³ per atom) = 18.71

[6]
# Cr2FeSb | Alexandria | GGA-PBE | optimized geometry
data_Cr2FeSb
_chemical_formula_sum 'Cr2 Fe1 Sb1'
_cell_length_a 3.808
_cell_length_b 3.808
_cell_length_c 3.868
_cell_angle_alpha 90.00
_cell_angle_beta 90.00
_cell_angle_gamma 90.00
_space_group_name_H-M_alt 'P 4/m m m'
_space_group_IT_number 123
_space_group_name_Hall '-P 4 2'
loop_
_atom_site_label
_atom_site_fract_x
_atom_site_fract_y
_atom_site_fract_z
Cr1 0.000 0.500 0.000
Fe1 0.000 0.000 0.500
Sb1 0.500 0.500 0.500
# - DFT total energy (eV per atom) = -7.659
# - size of the total moment (μB per cell) = 4.77
# - calculated volume (Å³ per atom) = 14.02

Which of these has the highest DFT total energy? CrFeSb3